[1]
A geometry-optimized LiZrPdAu structure. Source: Alexandria via LeMat-Bulk, functional PBE.

Cell lengths 3.3081, 3.3081, 6.3009 Å; angles 90.00, 90.00, 90.00 degrees
Sites, in units of the cell vectors:
1 Li 0.0000 0.0000 0.3571
2 Zr 0.0000 0.0000 0.8475
3 Pd 0.5000 0.5000 0.5905
4 Au 0.5000 0.5000 0.1329

Properties
- total moment (μB/f.u.) = 0.00

=====

[2]
A geometry-optimized LiPm2Au3 structure. Source: Alexandria via LeMat-Bulk, functional PBE.

Cell lengths 5.1193, 5.1193, 12.1306 Å; angles 90.00, 90.00, 120.00 degrees
Sites, in units of the cell vectors:
1 Li 0.3333 0.6667 0.6686
2 Li 0.6667 0.3333 0.3314
3 Pm 0.0000 0.0000 0.5000
4 Pm 0.3333 0.6667 0.1890
5 Pm 0.6667 0.3333 0.8110
6 Pm 0.0000 0.0000 0.0000
7 Au 0.3333 0.6667 0.4416
8 Au 0.6667 0.3333 0.0832
9 Au 0.0000 0.0000 0.7512
10 Au 0.0000 0.0000 0.2488
11 Au 0.3333 0.6667 0.9168
12 Au 0.6667 0.3333 0.5584

Properties
- total moment (μB/f.u.) = 0.00
- excess energy over the best structure of this formula in the dataset (kJ/mol of formula units) = 0

=====

[3]
A geometry-optimized Li8PmAu6 structure. Source: Alexandria via LeMat-Bulk, functional PBE.

Cell lengths 8.2417, 8.2417, 7.0008 Å; angles 53.94, 53.94, 60.00 degrees
Sites, in units of the cell vectors:
1 Li 0.4506 0.2187 0.3864
2 Li 0.7813 0.0556 0.6136
3 Li 0.0556 0.5494 0.6136
4 Li 0.6325 0.6325 0.1024
5 Li 0.3675 0.3675 0.8976
6 Li 0.9444 0.4506 0.3864
7 Li 0.2187 0.9444 0.3864
8 Li 0.5494 0.7813 0.6136
9 Pm 0.0000 0.0000 0.0000
10 Au 0.3991 0.0184 0.8763
11 Au 0.9816 0.2939 0.1237
12 Au 0.2939 0.6009 0.1237
13 Au 0.7061 0.3991 0.8763
14 Au 0.0184 0.7061 0.8763
15 Au 0.6009 0.9816 0.1237

Properties
- total moment (μB/f.u.) = 0.00

=====

[4]
A geometry-optimized LiPm3Au structure. Source: Alexandria via LeMat-Bulk, functional PBE.

Cell lengths 6.1095, 8.3197, 11.3347 Å; angles 95.97, 90.00, 90.00 degrees
Sites, in units of the cell vectors:
1 Li 0.9306 0.8389 0.5463
2 Li 0.0694 0.1611 0.4537
3 Li 0.4306 0.1611 0.9537
4 Li 0.5694 0.8389 0.0463
5 Pm 0.9421 0.8769 0.2570
6 Pm 0.0579 0.1231 0.7430
7 Pm 0.4421 0.1231 0.2430
8 Pm 0.5579 0.8769 0.7570
9 Pm 0.4418 0.8004 0.4356
10 Pm 0.5582 0.1996 0.5644
11 Pm 0.9418 0.1996 0.0644
12 Pm 0.0582 0.8004 0.9356
13 Pm 0.1563 0.5406 0.6517
14 Pm 0.8437 0.4594 0.3483
15 Pm 0.6563 0.4594 0.8483
16 Pm 0.3437 0.5406 0.1517
17 Au 0.8307 0.5690 0.1002
18 Au 0.1693 0.4310 0.8998
19 Au 0.3307 0.4310 0.3998
20 Au 0.6693 0.5690 0.6002

Properties
- total moment (μB/f.u.) = 0.00

=====

[5]
A geometry-optimized LiPm3Au2 structure. Source: Alexandria via LeMat-Bulk, functional PBE.

Cell lengths 5.0981, 7.5799, 9.1194 Å; angles 114.56, 106.20, 90.00 degrees
Sites, in units of the cell vectors:
1 Li 0.0000 0.5000 0.0000
2 Li 0.0000 0.0000 0.0000
3 Pm 0.5000 0.2500 0.0000
4 Pm 0.5000 0.7500 0.0000
5 Pm 0.8263 0.0763 0.6527
6 Pm 0.1737 0.4237 0.3473
7 Pm 0.1737 0.9237 0.3473
8 Pm 0.8263 0.5763 0.6527
9 Au 0.3484 0.3483 0.6967
10 Au 0.6517 0.1517 0.3033
11 Au 0.3483 0.8483 0.6967
12 Au 0.6516 0.6517 0.3033

Properties
- total moment (μB/f.u.) = 0.00
- excess energy over the best structure of this formula in the dataset (kJ/mol of formula units) = 0

=====

[6]
A geometry-optimized Li3Pm2Au2 structure. Source: Alexandria via LeMat-Bulk, functional PBE.

Cell lengths 4.3264, 5.6484, 7.4555 Å; angles 110.67, 90.00, 112.52 degrees
Sites, in units of the cell vectors:
1 Li 0.5000 0.0000 0.0000
2 Li 0.6413 0.2826 0.4372
3 Li 0.3587 0.7174 0.5628
4 Pm 0.8598 0.7197 0.2220
5 Pm 0.1402 0.2803 0.7780
6 Au 0.8522 0.7044 0.7990
7 Au 0.1478 0.2956 0.2010

Properties
- total moment (μB/f.u.) = 0.00

=====

| no. | E (eV/cell) |
| --- | --- |
| 1 | -21.04 |
| 2 | -51.04 |
| 3 | -46.46 |
| 4 | -82.55 |
| 5 | -51.82 |
| 6 | -25.14 |